(1)
# CePr4Ag5

An optimized crystal structure of CePr4Ag5 (PBE, the Alexandria database).

The structure in POSCAR format:
```
CePr4Ag5
1.0
-0.828 3.202 -1.727
-2.228 -1.846 -2.355
-14.874 2.633 12.011
Ce Pr Ag
1 4 5
direct
0.000 0.000 0.000
0.000 0.000 0.199
0.000 0.000 0.400
0.000 0.000 0.600
0.000 0.000 0.801
0.500 0.500 0.099
0.500 0.500 0.300
0.500 0.500 0.500
0.500 0.500 0.700
0.500 0.500 0.901
```

Computed properties:
Magnetization   1.0 μB/cell
ΔH_f (0 K)   -202 meV per atom

***

(2)
# CePrSmAg

An optimized crystal structure of CePrSmAg (PBE, the Alexandria database).

The structure in POSCAR format:
```
CePrSmAg
1.0
5.394 0.000 0.000
2.697 4.672 0.000
2.697 1.557 4.404
Pr Ag Ce Sm
1 1 1 1
direct
0.500 0.500 0.500
0.250 0.250 0.250
0.750 0.750 0.750
0.000 0.000 0.000
```

Computed properties:
Magnetization   2.5 μB/cell
ΔH_f (0 K)   132 meV per atom

***

(3)
# Ce2PrAg2Sn2

An optimized crystal structure of Ce2PrAg2Sn2 (PBE, the Alexandria database).

The structure in POSCAR format:
```
Ce2PrAg2Sn2
1.0
-0.585 -4.498 -1.388
3.590 -2.341 -2.031
3.791 -5.205 7.163
Ce Pr Ag Sn
2 1 2 2
direct
0.144 0.144 0.568
0.856 0.856 0.432
0.000 0.000 0.000
0.577 0.577 0.270
0.423 0.423 0.730
0.735 0.735 0.796
0.265 0.265 0.204
```

Computed properties:
Magnetization   2.2 μB/cell
ΔH_f (0 K)   -395 meV per atom

***

(4)
# CePr2Ag2Sn2

An optimized crystal structure of CePr2Ag2Sn2 (PBE, the Alexandria database).

The structure in POSCAR format:
```
CePr2Ag2Sn2
1.0
4.881 0.000 0.000
2.440 4.227 0.000
2.440 1.409 9.397
Ce Pr Ag Sn
1 2 2 2
direct
0.000 0.000 0.000
0.128 0.128 0.616
0.872 0.872 0.384
0.601 0.601 0.196
0.399 0.399 0.804
0.736 0.736 0.792
0.264 0.264 0.208
```

Computed properties:
Magnetization   1.3 μB/cell
ΔH_f (0 K)   -383 meV per atom

***

(5)
# TbCePrAg

An optimized crystal structure of TbCePrAg (PBE, the Alexandria database).

The structure in POSCAR format:
```
TbCePrAg
1.0
5.377 0.000 0.000
2.688 4.656 0.000
2.688 1.552 4.390
Pr Tb Ag Ce
1 1 1 1
direct
0.000 0.000 0.000
0.500 0.500 0.500
0.250 0.250 0.250
0.750 0.750 0.750
```

Computed properties:
Magnetization   2.7 μB/cell
ΔH_f (0 K)   133 meV per atom

***

(6)
# CePrTcAg

An optimized crystal structure of CePrTcAg (PBE, the Alexandria database).

The structure in POSCAR format:
```
CePrTcAg
1.0
5.108 0.000 0.000
2.554 4.423 0.000
2.554 1.474 4.170
Pr Ag Ce Tc
1 1 1 1
direct
0.750 0.750 0.750
0.000 0.000 0.000
0.250 0.250 0.250
0.500 0.500 0.500
```

Computed properties:
Magnetization   0.4 μB/cell
ΔH_f (0 K)   36 meV per atom

***

Q: Look up the magnetization of the second one.
A: 2.5 μB/cell